Record 1
## ZrIr2W (PBEsol)

Data for ZrIr2W after structural relaxation.

Summary:
* calculated density: 17.03 g cm⁻³
* excess energy over the best structure of this formula in the dataset: 0 meV/atom
* symmetry: P4/mmm
* total DFT energy (no corrections): -43.66 eV per cell
* volume: 64 Å³/cell
* energy of formation from the pure elements: -0.28 eV/atom

Cell and atoms, written as POSCAR:
```
ZrIr2W
1.0
-1.850 0.542 2.069
-3.495 0.367 -3.222
-0.886 -4.665 0.430
Ir W Zr
2 1 1
Cartesian
-0.443 -2.333 0.215
-1.748 0.184 -1.611
-3.116 -1.878 -0.362
-0.925 0.271 1.034
```

---

Record 2
## ZrIr2W (PBEsol)

Data for ZrIr2W after structural relaxation.

Summary:
* calculated density: 17.24 g cm⁻³
* excess energy over the best structure of this formula in the dataset: 147 meV/atom
* symmetry: C2/m
* total DFT energy (no corrections): -43.07 eV per cell
* volume: 64 Å³/cell
* energy of formation from the pure elements: -0.13 eV/atom

Cell and atoms, written as POSCAR:
```
ZrIr2W
1.0
-1.657 -0.978 2.038
4.381 -2.028 0.662
0.659 4.173 2.538
Ir W Zr
2 1 1
Cartesian
1.400 1.322 3.700
1.982 -0.155 1.538
0.330 2.086 1.269
-0.828 -0.489 1.019
```

---

Record 3
## YIr (PBEsol)

Data for YIr after structural relaxation.

Summary:
* calculated density: 8.84 g cm⁻³
* symmetry: P6_3/mmc
* total DFT energy (no corrections): -33.07 eV per cell
* volume: 106 Å³/cell
* energy of formation from the pure elements: 0.06 eV/atom

Cell and atoms, written as POSCAR:
```
YIr
1.0
4.678 0.000 0.000
-2.339 4.051 0.000
0.000 0.000 5.574
Ir Y
2 2
Cartesian
2.339 1.350 0.359
0.000 2.701 3.146
2.339 1.350 3.147
0.000 2.701 0.360
```

---

Record 4
## Y2Ir (PBEsol)

Data for Y2Ir after structural relaxation.

Summary:
* calculated density: 7.94 g cm⁻³
* symmetry: Pa-3
* total DFT energy (no corrections): -101.16 eV per cell
* volume: 310 Å³/cell
* energy of formation from the pure elements: -0.61 eV/atom

Cell and atoms, written as POSCAR:
```
Y2Ir
1.0
-5.842 2.869 1.846
-3.381 -4.378 -3.895
-0.458 -4.286 5.215
Ir Y
4 8
Cartesian
0.000 0.000 0.000
-4.612 -0.754 -1.025
-3.150 -0.708 3.530
-1.919 -4.332 0.660
-3.225 -1.930 1.054
-6.456 -3.865 2.111
-5.737 -1.198 4.365
-3.944 -4.597 -1.200
-6.789 -2.449 -1.144
-2.892 -3.346 4.309
-3.611 -6.012 2.055
-6.070 0.217 1.110
```

---

Record 5
## YIr (PBEsol)

Data for YIr after structural relaxation.

Summary:
* calculated density: 10.52 g cm⁻³
* symmetry: P6_3/mmc
* total DFT energy (no corrections): -35.96 eV per cell
* volume: 89 Å³/cell
* energy of formation from the pure elements: -0.67 eV/atom

Cell and atoms, written as POSCAR:
```
YIr
1.0
-0.684 -4.370 0.034
3.941 1.612 -1.195
1.598 -0.211 4.983
Y Ir
2 2
Cartesian
2.056 -2.534 3.361
2.799 -0.435 0.460
0.000 0.000 0.000
0.799 -0.106 2.491
```

---

Record 6
## Y5Ir (PBEsol)

Data for Y5Ir after structural relaxation.

Summary:
* calculated density: 6.57 g cm⁻³
* excess energy over the best structure of this formula in the dataset: 129 meV/atom
* symmetry: Cmmm
* total DFT energy (no corrections): -44.83 eV per cell
* volume: 161 Å³/cell
* energy of formation from the pure elements: -0.15 eV/atom

Cell and atoms, written as POSCAR:
```
Y5Ir
1.0
-2.680 -2.630 -0.425
1.646 -2.392 4.424
-3.756 5.807 4.537
Ir Y
1 5
Cartesian
-1.340 -1.315 -0.213
-2.555 1.782 5.079
-1.321 1.165 1.121
0.823 -1.196 2.212
-5.114 2.012 2.991
-2.234 -0.997 3.457
```

---

Record 7
## YIr2 (PBEsol)

Data for YIr2 after structural relaxation.

Summary:
* calculated density: 15.25 g cm⁻³
* symmetry: C2/m
* total DFT energy (no corrections): -54.78 eV per cell
* volume: 103 Å³/cell
* energy of formation from the pure elements: -0.31 eV/atom

Cell and atoms, written as POSCAR:
```
YIr2
1.0
-1.114 2.371 -1.319
-1.941 0.133 5.141
6.050 3.133 0.522
Ir Y
4 2
Cartesian
3.171 4.665 2.446
-0.176 0.973 1.898
0.630 3.616 2.707
2.365 2.022 1.637
-1.065 1.918 4.349
4.060 3.719 -0.005
```

---

Record 8
## Y2Ir (PBEsol)

Data for Y2Ir after structural relaxation.

Summary:
* calculated density: 8.15 g cm⁻³
* symmetry: Fm-3m
* total DFT energy (no corrections): -25.38 eV per cell
* volume: 75 Å³/cell
* energy of formation from the pure elements: -0.64 eV/atom

Cell and atoms, written as POSCAR:
```
Y2Ir
1.0
4.741 0.000 0.000
2.370 4.106 0.000
2.370 1.369 3.871
Y Ir
2 1
Cartesian
7.111 4.106 2.903
2.370 1.369 0.968
0.000 0.000 0.000
```

---

Record 9
## Y5Ir2 (PBEsol)

Data for Y5Ir2 after structural relaxation.

Summary:
* calculated density: 7.79 g cm⁻³
* symmetry: C2/c
* total DFT energy (no corrections): -116.25 eV per cell
* volume: 353 Å³/cell
* energy of formation from the pure elements: -0.62 eV/atom

Cell and atoms, written as POSCAR:
```
Y5Ir2
1.0
6.419 0.000 0.000
0.000 7.119 0.006
-3.210 -0.959 7.728
Ir Y
4 10
Cartesian
1.380 3.873 1.706
-1.830 5.846 6.031
1.830 2.286 6.029
5.040 0.314 1.703
0.758 -0.204 6.308
3.968 2.804 1.424
2.452 6.363 1.426
-0.758 3.356 6.311
0.435 1.832 3.401
3.645 0.769 4.330
2.774 4.328 4.333
-0.435 5.391 3.404
0.456 1.780 0.001
5.963 5.339 0.004
```

---

Record 10
## Y5Ir (PBEsol)

Data for Y5Ir after structural relaxation.

Summary:
* calculated density: 6.35 g cm⁻³
* excess energy over the best structure of this formula in the dataset: 1124 meV/atom
* symmetry: P6/mmm
* total DFT energy (no corrections): -38.86 eV per cell
* volume: 167 Å³/cell
* energy of formation from the pure elements: 0.85 eV/atom

Cell and atoms, written as POSCAR:
```
Y5Ir
1.0
5.788 0.000 0.000
0.000 5.764 0.000
0.000 -2.882 4.992
Ir Y
1 5
Cartesian
0.000 0.000 0.000
2.894 -1.441 2.496
0.000 2.882 1.664
2.894 1.441 2.496
2.894 2.882 0.000
0.000 0.000 3.328
```

---

Record 11
## YIr2 (PBEsol)

Data for YIr2 after structural relaxation.

Summary:
* calculated density: 12.92 g cm⁻³
* symmetry: P4/mmm
* total DFT energy (no corrections): -26.82 eV per cell
* volume: 61 Å³/cell
* energy of formation from the pure elements: -0.12 eV/atom

Cell and atoms, written as POSCAR:
```
YIr2
1.0
3.680 0.000 0.000
0.000 3.680 0.000
0.000 0.000 4.490
Ir Y
2 1
Cartesian
0.000 1.840 2.245
1.840 0.000 2.245
0.000 0.000 0.000
```

---

Record 12
## Y2Ir (PBEsol)

Data for Y2Ir after structural relaxation.

Summary:
* calculated density: 8.10 g cm⁻³
* symmetry: I4_1/amd
* total DFT energy (no corrections): -49.87 eV per cell
* volume: 152 Å³/cell
* energy of formation from the pure elements: -0.49 eV/atom

Cell and atoms, written as POSCAR:
```
Y2Ir
1.0
3.367 0.000 0.000
0.000 3.367 0.000
-1.683 -1.683 13.394
Ir Y
2 4
Cartesian
0.000 1.683 6.697
0.000 0.000 0.000
0.000 0.000 11.752
1.683 1.683 1.641
1.683 0.000 5.056
1.683 0.000 8.338
```